# 1
# ScMoOsN2 (GGA-PBE, optimized geometry)
# Raw formation energy ... 1.250 eV per atom
# Volume ... 17.7 Å³ per atom
# Fermi-level density of states ... 4.01 states/eV per cell
data_ScMoOsN2
_cell_length_a 3.889
_cell_length_b 3.889
_cell_length_c 5.849
_cell_angle_alpha 90.00
_cell_angle_beta 90.00
_cell_angle_gamma 90.00
_symmetry_space_group_name_H-M 'P 4/m m m'
_symmetry_Int_Tables_number 123
_symmetry_space_group_name_Hall '-P 4 2'
loop_
_atom_site_label
_atom_site_type_symbol
_atom_site_fract_x
_atom_site_fract_y
_atom_site_fract_z
Sc1 Sc 0.000 0.000 0.000
Mo1 Mo 0.000 0.000 0.500
Os1 Os 0.500 0.500 0.000
N1 N 0.000 0.500 0.500

# 2
# TaAsWBr2 (GGA-PBE, optimized geometry)
# Polymorph energy (0 for the lowest one) ... 0.0 meV per atom
# Raw formation energy ... 1.255 eV per atom
# Volume ... 26.4 Å³ per atom
# Fermi-level density of states ... 3.25 states/eV per cell
data_TaAsWBr2
_cell_length_a 5.018
_cell_length_b 5.018
_cell_length_c 5.242
_cell_angle_alpha 90.00
_cell_angle_beta 90.00
_cell_angle_gamma 90.00
_symmetry_space_group_name_H-M 'P 4/m m m'
_symmetry_Int_Tables_number 123
_symmetry_space_group_name_Hall '-P 4 2'
loop_
_atom_site_label
_atom_site_type_symbol
_atom_site_fract_x
_atom_site_fract_y
_atom_site_fract_z
Ta1 Ta 0.000 0.000 0.000
As1 As 0.000 0.000 0.500
W1 W 0.500 0.500 0.500
Br1 Br 0.000 0.500 0.000

# 3
# Ga2SnBr4 (GGA-PBE, optimized geometry)
# Polymorph energy (0 for the lowest one) ... 0.0 meV per atom
# Raw formation energy ... -0.621 eV per atom
# Volume ... 36.0 Å³ per atom
# Fermi-level density of states ... 0.00 states/eV per cell
data_Ga2SnBr4
_cell_length_a 4.337
_cell_length_b 7.920
_cell_length_c 8.591
_cell_angle_alpha 117.14
_cell_angle_beta 104.61
_cell_angle_gamma 90.19
_symmetry_space_group_name_H-M 'P -1'
_symmetry_Int_Tables_number 2
loop_
_symmetry_equiv_pos_as_xyz
'x,y,z'
'-x,-y,-z'
loop_
_atom_site_label
_atom_site_type_symbol
_atom_site_fract_x
_atom_site_fract_y
_atom_site_fract_z
Ga1 Ga 0.222 0.240 0.449
Sn1 Sn 0.500 0.500 0.000
Br1 Br 0.121 0.767 0.238
Br2 Br 0.372 0.667 0.742

# 4
# LaHoPtAu (GGA-PBE, optimized geometry)
# Energy of formation from the pure elements ... -370.5 kJ/mol of formula units
# Volume ... 24.0 Å³ per atom
# Fermi-level density of states ... 11.14 states/eV per cell
data_LaHoPtAu
_cell_length_a 7.268
_cell_length_b 7.268
_cell_length_c 7.268
_cell_angle_alpha 90.00
_cell_angle_beta 90.00
_cell_angle_gamma 90.00
_symmetry_space_group_name_H-M 'F -4 3 m'
_symmetry_Int_Tables_number 216
_symmetry_space_group_name_Hall 'F -4 2 3'
loop_
_atom_site_label
_atom_site_type_symbol
_atom_site_fract_x
_atom_site_fract_y
_atom_site_fract_z
La1 La 0.000 0.000 0.000
Ho1 Ho 0.000 0.000 0.500
Pt1 Pt 0.250 0.250 0.750
Au1 Au 0.250 0.250 0.250

# 5
# SrCa2Re (GGA-PBE, optimized geometry)
# Energy of formation from the pure elements ... 375.9 kJ/mol of formula units
# Polymorph energy (0 for the lowest one) ... 293.5 meV per atom
# Volume ... 28.0 Å³ per atom
# Fermi-level density of states ... 10.05 states/eV per cell
data_SrCa2Re
_cell_length_a 6.722
_cell_length_b 11.127
_cell_length_c 3.236
_cell_angle_alpha 90.00
_cell_angle_beta 112.44
_cell_angle_gamma 90.00
_symmetry_space_group_name_H-M 'C 1 2/m 1'
_symmetry_Int_Tables_number 12
loop_
_symmetry_equiv_pos_as_xyz
'x,y,z'
'-x,-y,-z'
'-x,y,-z'
'x,-y,z'
'x+1/2,y+1/2,z'
'-x+1/2,-y+1/2,-z'
'-x+1/2,y+1/2,-z'
'x+1/2,-y+1/2,z'
loop_
_atom_site_label
_atom_site_type_symbol
_atom_site_fract_x
_atom_site_fract_y
_atom_site_fract_z
Sr1 Sr 0.000 0.000 0.000
Ca1 Ca 0.250 0.250 0.500
Re1 Re 0.000 0.500 0.000

# 6
# ScZnBr (GGA-PBE, optimized geometry)
# Polymorph energy (0 for the lowest one) ... 711.7 meV per atom
# Raw formation energy ... -0.092 eV per atom
# Volume ... 25.4 Å³ per atom
# Fermi-level density of states ... 13.99 states/eV per cell
data_ScZnBr
_cell_length_a 6.727
_cell_length_b 6.727
_cell_length_c 6.727
_cell_angle_alpha 90.00
_cell_angle_beta 90.00
_cell_angle_gamma 90.00
_symmetry_space_group_name_H-M 'F -4 3 m'
_symmetry_Int_Tables_number 216
_symmetry_space_group_name_Hall 'F -4 2 3'
loop_
_atom_site_label
_atom_site_type_symbol
_atom_site_fract_x
_atom_site_fract_y
_atom_site_fract_z
Sc1 Sc 0.000 0.000 0.000
Zn1 Zn 0.250 0.250 0.250
Br1 Br 0.250 0.250 0.750

# 7
# LuFeCu (GGA-PBE, optimized geometry)
# Energy of formation from the pure elements ... -36.4 kJ/mol of formula units
# Volume ... 15.7 Å³ per atom
# Fermi-level density of states ... 15.47 states/eV per cell
data_LuFeCu
_cell_length_a 5.003
_cell_length_b 5.071
_cell_length_c 7.421
_cell_angle_alpha 90.00
_cell_angle_beta 90.00
_cell_angle_gamma 90.00
_symmetry_space_group_name_H-M 'I m m a'
_symmetry_Int_Tables_number 74
_symmetry_space_group_name_Hall '-I 2b 2'
loop_
_atom_site_label
_atom_site_type_symbol
_atom_site_fract_x
_atom_site_fract_y
_atom_site_fract_z
Lu1 Lu 0.000 0.250 0.121
Fe1 Fe 0.250 0.250 0.750
Cu1 Cu 0.000 0.000 0.500

# 8
# Tb4Ge2Te (GGA-PBE, optimized geometry)
# Raw formation energy ... -0.759 eV per atom
# Volume ... 33.6 Å³ per atom
# Fermi-level density of states ... 15.53 states/eV per cell
data_Tb4Ge2Te
_cell_length_a 8.730
_cell_length_b 8.730
_cell_length_c 12.333
_cell_angle_alpha 90.00
_cell_angle_beta 90.00
_cell_angle_gamma 90.00
_symmetry_space_group_name_H-M 'I 41/a m d'
_symmetry_Int_Tables_number 141
loop_
_symmetry_equiv_pos_as_xyz
'x,y,z'
'-x,-y,-z'
'-y+1/4,x+3/4,z+1/4'
'y+1/4,-x+3/4,-z+1/4'
'-x+1/2,-y,z+1/2'
'x+1/2,y,-z+1/2'
'y+1/4,-x+1/4,z+3/4'
'-y+1/4,x+1/4,-z+3/4'
'x,-y,-z'
'-x,y,z'
'-y+1/4,-x+1/4,-z+3/4'
'y+1/4,x+1/4,z+3/4'
'-x+1/2,y,-z+1/2'
'x+1/2,-y,z+1/2'
'y+1/4,x+3/4,-z+1/4'
'-y+1/4,-x+3/4,z+1/4'
'x+1/2,y+1/2,z+1/2'
'-x+1/2,-y+1/2,-z+1/2'
'-y+3/4,x+1/4,z+3/4'
'y+3/4,-x+1/4,-z+3/4'
'-x,-y+1/2,z'
'x,y+1/2,-z'
'y+3/4,-x+3/4,z+1/4'
'-y+3/4,x+3/4,-z+1/4'
'x+1/2,-y+1/2,-z+1/2'
'-x+1/2,y+1/2,z+1/2'
'-y+3/4,-x+3/4,-z+1/4'
'y+3/4,x+3/4,z+1/4'
'-x,y+1/2,-z'
'x,-y+1/2,z'
'y+3/4,x+1/4,-z+3/4'
'-y+3/4,-x+1/4,z+3/4'
loop_
_atom_site_label
_atom_site_type_symbol
_atom_site_fract_x
_atom_site_fract_y
_atom_site_fract_z
Tb1 Tb 0.000 0.037 0.268
Ge1 Ge 0.000 0.000 0.500
Te1 Te 0.000 0.250 0.875

# 9
# Ca3CdRe (GGA-PBE, optimized geometry)
# Energy of formation from the pure elements ... 301.0 kJ/mol of formula units
# Polymorph energy (0 for the lowest one) ... 0.0 meV per atom
# Volume ... 33.8 Å³ per atom
# Fermi-level density of states ... 3.89 states/eV per cell
data_Ca3CdRe
_cell_length_a 5.527
_cell_length_b 5.527
_cell_length_c 5.527
_cell_angle_alpha 90.00
_cell_angle_beta 90.00
_cell_angle_gamma 90.00
_symmetry_space_group_name_H-M 'P m -3 m'
_symmetry_Int_Tables_number 221
_symmetry_space_group_name_Hall '-P 4 2 3'
loop_
_atom_site_label
_atom_site_type_symbol
_atom_site_fract_x
_atom_site_fract_y
_atom_site_fract_z
Ca1 Ca 0.000 0.000 0.500
Cd1 Cd 0.500 0.500 0.500
Re1 Re 0.000 0.000 0.000

# 10
# Ag2TePb2 (GGA-PBE, optimized geometry)
# Polymorph energy (0 for the lowest one) ... 0.0 meV per atom
# Raw formation energy ... 0.013 eV per atom
# Volume ... 26.4 Å³ per atom
# Fermi-level density of states ... 2.42 states/eV per cell
data_Ag2TePb2
_cell_length_a 7.726
_cell_length_b 7.726
_cell_length_c 4.431
_cell_angle_alpha 90.00
_cell_angle_beta 90.00
_cell_angle_gamma 90.00
_symmetry_space_group_name_H-M 'P 4/m b m'
_symmetry_Int_Tables_number 127
_symmetry_space_group_name_Hall '-P 4 2ab'
loop_
_atom_site_label
_atom_site_type_symbol
_atom_site_fract_x
_atom_site_fract_y
_atom_site_fract_z
Ag1 Ag 0.129 0.371 0.000
Te1 Te 0.000 0.000 0.000
Pb1 Pb 0.164 0.664 0.500

# 11
# BW2Se (GGA-PBE, optimized geometry)
# Polymorph energy (0 for the lowest one) ... 0.0 meV per atom
# Raw formation energy ... -0.125 eV per atom
# Volume ... 15.1 Å³ per atom
# Fermi-level density of states ... 1.28 states/eV per cell
data_BW2Se
_cell_length_a 3.2501
_cell_length_b 3.2501
_cell_length_c 6.6129
_cell_angle_alpha 90.00
_cell_angle_beta 90.00
_cell_angle_gamma 120.00
_symmetry_space_group_name_H-M 'P 3 m 1'
_symmetry_Int_Tables_number 156
loop_
_symmetry_equiv_pos_as_xyz
'x,y,z'
'-y,x-y,z'
'-x+y,-x,z'
'-y,-x,z'
'-x+y,y,z'
'x,x-y,z'
loop_
_atom_site_label
_atom_site_type_symbol
_atom_site_fract_x
_atom_site_fract_y
_atom_site_fract_z
B1 B 0.0000 0.0000 0.0000
W1 W 0.3333 0.6667 0.1829
W2 W 0.6667 0.3333 0.8430
Se1 Se 0.6667 0.3333 0.4531

# 12
# Rb2NiPtS4 (GGA-PBE, optimized geometry)
# Raw formation energy ... -0.550 eV per atom
# Volume ... 27.1 Å³ per atom
# Fermi-level density of states ... 16.36 states/eV per cell
data_Rb2NiPtS4
_cell_length_a 5.821
_cell_length_b 13.237
_cell_length_c 22.546
_cell_angle_alpha 90.00
_cell_angle_beta 90.00
_cell_angle_gamma 90.00
_symmetry_space_group_name_H-M 'F d d d'
_symmetry_Int_Tables_number 70
loop_
_symmetry_equiv_pos_as_xyz
'x,y,z'
'-x,-y,-z'
'-x+1/4,-y+1/4,z'
'x+1/4,y+1/4,-z'
'x,-y+1/4,-z+1/4'
'-x,y+1/4,z+1/4'
'-x+1/4,y,-z+1/4'
'x+1/4,-y,z+1/4'
'x,y+1/2,z+1/2'
'-x,-y+1/2,-z+1/2'
'-x+1/4,-y+3/4,z+1/2'
'x+1/4,y+3/4,-z+1/2'
'x,-y+3/4,-z+3/4'
'-x,y+3/4,z+3/4'
'-x+1/4,y+1/2,-z+3/4'
'x+1/4,-y+1/2,z+3/4'
'x+1/2,y,z+1/2'
'-x+1/2,-y,-z+1/2'
'-x+3/4,-y+1/4,z+1/2'
'x+3/4,y+1/4,-z+1/2'
'x+1/2,-y+1/4,-z+3/4'
'-x+1/2,y+1/4,z+3/4'
'-x+3/4,y,-z+3/4'
'x+3/4,-y,z+3/4'
'x+1/2,y+1/2,z'
'-x+1/2,-y+1/2,-z'
'-x+3/4,-y+3/4,z'
'x+3/4,y+3/4,-z'
'x+1/2,-y+3/4,-z+1/4'
'-x+1/2,y+3/4,z+1/4'
'-x+3/4,y+1/2,-z+1/4'
'x+3/4,-y+1/2,z+1/4'
loop_
_atom_site_label
_atom_site_type_symbol
_atom_site_fract_x
_atom_site_fract_y
_atom_site_fract_z
Rb1 Rb 0.125 0.125 0.306
Ni1 Ni 0.125 0.125 0.625
Pt1 Pt 0.125 0.125 0.125
S1 S 0.108 0.285 0.820

# 13
# SiNi2Hg (GGA-PBE, optimized geometry)
# Polymorph energy (0 for the lowest one) ... 296.4 meV per atom
# Raw formation energy ... 0.107 eV per atom
# Volume ... 13.7 Å³ per atom
# Fermi-level density of states ... 2.42 states/eV per cell
data_SiNi2Hg
_cell_length_a 4.301
_cell_length_b 4.301
_cell_length_c 2.971
_cell_angle_alpha 90.00
_cell_angle_beta 90.00
_cell_angle_gamma 90.00
_symmetry_space_group_name_H-M 'P 4/m m m'
_symmetry_Int_Tables_number 123
_symmetry_space_group_name_Hall '-P 4 2'
loop_
_atom_site_label
_atom_site_type_symbol
_atom_site_fract_x
_atom_site_fract_y
_atom_site_fract_z
Si1 Si 0.000 0.000 0.000
Ni1 Ni 0.000 0.500 0.500
Hg1 Hg 0.500 0.500 0.000

# 14
# SrLiAs2Au2 (GGA-PBE, optimized geometry)
# Energy of formation from the pure elements ... -367.0 kJ/mol of formula units
# Volume ... 21.2 Å³ per atom
# Fermi-level density of states ... 2.32 states/eV per cell
data_SrLiAs2Au2
_cell_length_a 4.4554
_cell_length_b 4.4554
_cell_length_c 7.4141
_cell_angle_alpha 90.00
_cell_angle_beta 90.00
_cell_angle_gamma 120.00
_symmetry_space_group_name_H-M 'P -3 m 1'
_symmetry_Int_Tables_number 164
_symmetry_space_group_name_Hall '-P 3 2"'
loop_
_atom_site_label
_atom_site_type_symbol
_atom_site_fract_x
_atom_site_fract_y
_atom_site_fract_z
Sr1 Sr 0.0000 0.0000 0.0000
Li1 Li 0.0000 0.0000 0.5000
As1 As 0.3333 0.6667 0.7298
Au1 Au 0.3333 0.6667 0.3207

# 15
# Tb2TiAl (GGA-PBE, optimized geometry)
# Energy of formation from the pure elements ... 127.6 kJ/mol of formula units
# Polymorph energy (0 for the lowest one) ... 396.2 meV per atom
# Volume ... 25.6 Å³ per atom
# Fermi-level density of states ... 12.68 states/eV per cell
data_Tb2TiAl
_cell_length_a 3.3011
_cell_length_b 3.3011
_cell_length_c 32.5811
_cell_angle_alpha 90.00
_cell_angle_beta 90.00
_cell_angle_gamma 120.00
_symmetry_space_group_name_H-M 'R -3 m'
_symmetry_Int_Tables_number 166
_symmetry_space_group_name_Hall '-R 3 2"'
loop_
_atom_site_label
_atom_site_type_symbol
_atom_site_fract_x
_atom_site_fract_y
_atom_site_fract_z
Tb1 Tb 0.0000 0.0000 0.0924
Ti1 Ti 0.0000 0.0000 0.0000
Al1 Al 0.0000 0.0000 0.5000

# 16
# Ta2CoC (GGA-PBE, optimized geometry)
# Energy of formation from the pure elements ... 90.2 kJ/mol of formula units
# Volume ... 13.8 Å³ per atom
# Fermi-level density of states ... 16.41 states/eV per cell
data_Ta2CoC
_cell_length_a 6.182
_cell_length_b 6.182
_cell_length_c 5.779
_cell_angle_alpha 90.00
_cell_angle_beta 90.00
_cell_angle_gamma 90.00
_symmetry_space_group_name_H-M 'I -4 2 d'
_symmetry_Int_Tables_number 122
_symmetry_space_group_name_Hall 'I -4 2bw'
loop_
_atom_site_label
_atom_site_type_symbol
_atom_site_fract_x
_atom_site_fract_y
_atom_site_fract_z
Ta1 Ta 0.208 0.750 0.125
Co1 Co 0.000 0.000 0.500
C1 C 0.000 0.000 0.000

# 17
# SrPm4Pd4 (GGA-PBE, optimized geometry)
# Energy of formation from the pure elements ... -529.5 kJ/mol of formula units
# Volume ... 29.3 Å³ per atom
# Fermi-level density of states ... 11.72 states/eV per cell
data_SrPm4Pd4
_cell_length_a 9.513
_cell_length_b 9.513
_cell_length_c 5.835
_cell_angle_alpha 90.00
_cell_angle_beta 90.00
_cell_angle_gamma 90.00
_symmetry_space_group_name_H-M 'P 42/n'
_symmetry_Int_Tables_number 86
loop_
_symmetry_equiv_pos_as_xyz
'x,y,z'
'-x,-y,-z'
'-y,x+1/2,z+1/2'
'y,-x+1/2,-z+1/2'
'-x+1/2,-y+1/2,z'
'x+1/2,y+1/2,-z'
'y+1/2,-x,z+1/2'
'-y+1/2,x,-z+1/2'
loop_
_atom_site_label
_atom_site_type_symbol
_atom_site_fract_x
_atom_site_fract_y
_atom_site_fract_z
Sr1 Sr 0.250 0.250 0.250
Pm1 Pm 0.084 0.647 0.168
Pd1 Pd 0.051 0.615 0.667

| no. | magnetization (Bohr magnetons per cell) |
| --- | --- |
| 1 | 2.21 |
| 2 | 5.19 |
| 3 | 0.00 |
| 4 | 0.00 |
| 5 | 0.00 |
| 6 | 5.92 |
| 7 | 5.56 |
| 8 | 0.00 |
| 9 | 1.13 |
| 10 | 0.00 |
| 11 | 0.00 |
| 12 | 0.00 |
| 13 | 0.00 |
| 14 | 0.00 |
| 15 | 6.60 |
| 16 | 0.00 |
| 17 | 0.00 |